# SmDy2Si4

SmDy2Si4 after structural relaxation (PBE, Alexandria).

```
SmDy2Si4
1.0
-1.943 2.135 8.776
1.943 -2.135 8.776
1.943 2.135 -8.776
Sm Dy Si
1 2 4
direct
0.000 0.000 0.000
0.183 0.683 0.500
0.817 0.317 0.500
0.350 0.850 0.500
0.433 0.433 0.000
0.567 0.567 0.000
0.650 0.150 0.500
```

---

# Sm5DySi4

Sm5DySi4 after structural relaxation (PBE, Alexandria).

```
Sm5DySi4
1.0
7.701 -2.505 0.000
7.701 2.505 0.000
-0.059 0.000 6.893
Sm Dy Si
5 1 4
direct
0.000 0.000 0.000
0.334 0.334 0.493
0.336 0.336 0.004
0.664 0.664 0.996
0.666 0.666 0.507
0.000 0.000 0.500
0.176 0.176 0.749
0.492 0.492 0.744
0.508 0.508 0.256
0.824 0.824 0.251
```

---

# Sm3Dy3Si4

Sm3Dy3Si4 after structural relaxation (PBE, Alexandria).

```
Sm3Dy3Si4
1.0
4.294 0.000 0.000
0.000 5.356 5.320
0.000 -5.356 5.320
Sm Dy Si
3 3 4
direct
0.000 0.000 0.000
0.000 0.497 0.852
0.000 0.852 0.497
0.000 0.352 0.352
0.500 0.175 0.677
0.500 0.677 0.175
0.500 0.064 0.293
0.500 0.293 0.064
0.500 0.557 0.557
0.500 0.789 0.789
```

---

# Sm2DySi

Sm2DySi after structural relaxation (PBE, Alexandria).

```
Sm2DySi
1.0
4.679 0.000 0.000
0.000 4.679 0.000
0.000 0.000 4.720
Sm Dy Si
2 1 1
direct
0.000 0.500 0.000
0.500 0.000 0.000
0.000 0.000 0.500
0.500 0.500 0.500
```

---

# SmDy3Si4

SmDy3Si4 after structural relaxation (PBE, Alexandria).

```
SmDy3Si4
1.0
-1.969 3.163 7.853
1.969 -3.163 7.853
1.969 3.163 -7.853
Sm Dy Si
1 3 4
direct
0.000 0.000 0.000
0.195 0.695 0.500
0.500 0.500 0.000
0.805 0.305 0.500
0.184 0.867 0.316
0.449 0.133 0.316
0.551 0.867 0.684
0.816 0.133 0.684
```

---

# Sm2DySi6

Sm2DySi6 after structural relaxation (PBE, Alexandria).

```
Sm2DySi6
1.0
7.124 0.000 0.000
-3.562 6.170 0.000
0.000 0.000 4.034
Sm Dy Si
2 1 6
direct
0.333 0.667 0.000
0.667 0.333 0.000
0.000 0.000 0.000
0.000 0.332 0.500
0.000 0.668 0.500
0.332 0.000 0.500
0.332 0.332 0.500
0.668 0.000 0.500
0.668 0.668 0.500
```

---

# SmDySi

SmDySi after structural relaxation (PBE, Alexandria).

```
SmDySi
1.0
2.136 -5.760 0.000
2.136 5.760 0.000
0.000 0.000 6.464
Sm Dy Si
2 2 2
direct
0.206 0.794 0.750
0.794 0.206 0.250
0.500 0.500 0.000
0.500 0.500 0.500
0.112 0.888 0.250
0.888 0.112 0.750
```

---

# Sm4Dy3Si4

Sm4Dy3Si4 after structural relaxation (PBE, Alexandria).

```
Sm4Dy3Si4
1.0
-1.840 4.378 8.648
1.840 -4.378 8.648
1.840 4.378 -8.648
Sm Dy Si
4 3 4
direct
0.006 0.830 0.176
0.346 0.170 0.176
0.654 0.830 0.824
0.994 0.170 0.824
0.000 0.500 0.500
0.407 0.407 0.000
0.593 0.593 0.000
0.276 0.000 0.276
0.277 0.777 0.500
0.723 0.223 0.500
0.724 0.000 0.724
```

---

Number 1: N(E_F) 3.52 states/eV/cell, formation energy from raw total energies -0.7623 eV per atom, total DFT energy (no corrections) -5.85 eV per atom. Number 2: N(E_F) 5.13 states/eV/cell, formation energy from raw total energies -0.5085 eV per atom, total DFT energy (no corrections) -5.50 eV per atom. Number 3: N(E_F) 8.41 states/eV/cell, formation energy from raw total energies -0.6972 eV per atom, total DFT energy (no corrections) -5.66 eV per atom. Number 4: N(E_F) 3.71 states/eV/cell, formation energy from raw total energies -0.2537 eV per atom, total DFT energy (no corrections) -5.12 eV per atom. Number 5: N(E_F) 6.66 states/eV/cell, formation energy from raw total energies -0.5307 eV per atom, total DFT energy (no corrections) -5.56 eV per atom. Number 6: N(E_F) 6.03 states/eV/cell, formation energy from raw total energies -0.5532 eV per atom, total DFT energy (no corrections) -5.73 eV per atom. Number 7: N(E_F) 3.50 states/eV/cell, formation energy from raw total energies -0.5429 eV per atom, total DFT energy (no corrections) -5.46 eV per atom. Number 8: N(E_F) 8.64 states/eV/cell, formation energy from raw total energies -0.4961 eV per atom, total DFT energy (no corrections) -5.44 eV per atom.